P | Here is HgCl at its PBEsol-relaxed geometry from Alexandria. Energies are from meta-GGA SCAN.

```
HgCl
1.0
2.057 1.187 3.380
-2.057 1.187 3.380
0.000 -2.375 3.380
Hg Cl
1 1
Cartesian
0.000 0.000 0.000
0.000 0.000 5.070
```

Results
DOS(E_F) ... 0.58 states/eV per atom

=====

Q | Here is HgCl at its PBEsol-relaxed geometry from Alexandria. Energies are from meta-GGA SCAN.

```
HgCl
1.0
5.419 -1.771 0.000
5.419 1.771 0.000
-3.394 0.000 5.062
Hg Cl
2 2
Cartesian
0.126 0.000 1.929
7.318 0.000 3.133
3.923 0.000 0.833
3.521 0.000 4.229
```

Results
DOS(E_F) ... 0.10 states/eV per atom

=====

R | Here is HgCl at its PBEsol-relaxed geometry from Alexandria. Energies are from meta-GGA SCAN.

```
HgCl
1.0
6.278 0.000 0.000
0.000 3.929 0.000
0.000 0.000 3.971
Hg Cl
2 2
Cartesian
1.569 0.000 0.588
4.708 0.000 3.383
1.569 1.965 2.577
4.708 1.965 1.394
```

Results
DOS(E_F) ... 0.45 states/eV per atom

=====

Which one is most stable, and which one is least stable? Q is the most stable of them, while R is the least stable.

=====

P | Here is In2HgCl2 at its PBEsol-relaxed geometry from Alexandria. Energies are from meta-GGA SCAN.

```
In2HgCl2
1.0
7.953 0.000 0.000
0.000 7.953 0.000
0.000 0.000 4.204
In Hg Cl
4 2 4
Cartesian
1.152 2.824 0.000
2.824 6.801 0.000
5.128 1.152 0.000
6.801 5.128 0.000
0.000 0.000 0.000
3.976 3.976 0.000
1.343 5.319 2.102
2.634 1.343 2.102
5.319 6.610 2.102
6.610 2.634 2.102
```

=====

Q | Here is In2HgCl2 at its PBEsol-relaxed geometry from Alexandria. Energies are from meta-GGA SCAN.

```
In2HgCl2
1.0
-2.404 2.404 6.756
2.404 -2.404 6.756
2.404 2.404 -6.756
In Hg Cl
2 1 2
Cartesian
0.000 0.000 1.795
0.000 0.000 11.717
0.000 0.000 6.756
2.404 0.000 3.378
0.000 2.404 3.378
```

=====

Which one is most stable, and which one is least stable? P is the most stable of them, while Q is the least stable.

=====

P | Here is HgIrCl2 at its PBEsol-relaxed geometry from Alexandria. Energies are from meta-GGA SCAN.

```
HgIrCl2
1.0
1.705 -2.831 0.000
1.705 2.831 0.000
0.000 0.000 8.436
Hg Ir Cl
1 1 2
Cartesian
0.000 0.000 0.000
1.705 0.000 2.043
0.000 0.000 3.583
1.705 0.000 6.549
```

Results
DOS(E_F) ... 0.31 states/eV per atom

=====

Q | Here is HgIrCl2 at its PBEsol-relaxed geometry from Alexandria. Energies are from meta-GGA SCAN.

```
HgIrCl2
1.0
-1.866 1.866 5.208
1.866 -1.866 5.208
1.866 1.866 -5.208
Hg Ir Cl
1 1 2
Cartesian
0.000 0.000 0.000
0.000 1.866 2.604
1.866 0.000 2.604
0.000 0.000 5.208
```

Results
DOS(E_F) ... 0.55 states/eV per atom

=====

Which one is most stable, and which one is least stable? P is the most stable of them, while Q is the least stable.

=====

P | Here is HgIrCl at its PBEsol-relaxed geometry from Alexandria. Energies are from meta-GGA SCAN.

```
HgIrCl
1.0
0.000 3.197 3.197
3.197 0.000 3.197
3.197 3.197 0.000
Hg Ir Cl
1 1 1
Cartesian
0.000 0.000 0.000
4.796 4.796 4.796
1.599 1.599 1.599
```

Results
DOS(E_F) ... 0.70 states/eV per atom

=====

Q | Here is HgIrCl at its PBEsol-relaxed geometry from Alexandria. Energies are from meta-GGA SCAN.

```
HgIrCl
1.0
3.127 0.000 0.000
-1.564 2.708 0.000
0.000 0.000 6.287
Hg Ir Cl
1 1 1
Cartesian
0.000 0.000 0.000
1.564 0.903 4.179
0.000 1.806 2.403
```

Results
DOS(E_F) ... 0.46 states/eV per atom

=====

Which one is most stable, and which one is least stable? Q is the most stable of them, while P is the least stable.

=====

P | Here is K2HgCl at its PBEsol-relaxed geometry from Alexandria. Energies are from meta-GGA SCAN.

```
K2HgCl
1.0
-2.212 3.361 4.983
2.212 -3.361 4.983
2.212 3.361 -4.983
K Hg Cl
2 1 1
Cartesian
0.000 0.000 2.023
0.000 0.000 7.944
0.000 3.361 0.000
2.212 0.000 0.000
```

Results
DOS(E_F) ... 0.56 states/eV per atom

=====

Q | Here is K2HgCl at its PBEsol-relaxed geometry from Alexandria. Energies are from meta-GGA SCAN.

```
K2HgCl
1.0
9.170 -1.894 0.000
9.170 1.894 0.000
-0.884 0.000 3.947
K Hg Cl
2 1 1
Cartesian
0.000 0.000 0.000
3.283 0.000 2.824
15.012 0.000 1.323
10.082 0.000 2.276
```

Results
DOS(E_F) ... 0.34 states/eV per atom

=====

Which one is most stable, and which one is least stable? Q is the most stable of them, while P is the least stable.

=====

P | Here is LiHgSCl2 at its PBEsol-relaxed geometry from Alexandria. Energies are from meta-GGA SCAN.

```
LiHgSCl2
1.0
5.275 0.000 0.000
0.000 5.275 0.000
0.000 0.000 4.881
Li Hg S Cl
1 1 1 2
Cartesian
0.000 0.000 0.000
2.638 2.638 2.440
2.638 2.638 0.000
0.000 2.638 2.440
2.638 0.000 2.440
```

Results
DOS(E_F) ... 0.82 states/eV per atom

=====

Q | Here is LiHgSCl2 at its PBEsol-relaxed geometry from Alexandria. Energies are from meta-GGA SCAN.

```
LiHgSCl2
1.0
4.923 0.000 0.000
0.000 4.923 0.000
0.000 0.000 4.784
Li Hg S Cl
1 1 1 2
Cartesian
0.000 0.000 0.000
2.461 2.461 0.000
0.000 0.000 2.392
0.000 2.461 2.392
2.461 0.000 2.392
```

Results
DOS(E_F) ... 0.03 states/eV per atom

=====

Which one is most stable, and which one is least stable? Q is the most stable of them, while P is the least stable.

=====

P | Here is Mg2HgCl at its PBEsol-relaxed geometry from Alexandria. Energies are from meta-GGA SCAN.

```
Mg2HgCl
1.0
0.000 3.563 3.563
3.563 0.000 3.563
3.563 3.563 0.000
Mg Hg Cl
2 1 1
Cartesian
1.781 1.781 1.781
5.344 5.344 5.344
0.000 0.000 0.000
3.563 3.563 3.563
```

Results
DOS(E_F) ... 0.62 states/eV per atom

=====

Q | Here is Mg2HgCl at its PBEsol-relaxed geometry from Alexandria. Energies are from meta-GGA SCAN.

```
Mg2HgCl
1.0
3.294 0.000 0.000
0.000 3.294 0.000
0.000 0.000 7.646
Mg Hg Cl
2 1 1
Cartesian
0.000 0.000 1.786
0.000 0.000 5.861
1.647 1.647 0.000
1.647 1.647 3.823
```

Results
DOS(E_F) ... 0.25 states/eV per atom

=====

Which one is most stable, and which one is least stable? Q is the most stable of them, while P is the least stable.

=====

P | Here is MnHgCl2 at its PBEsol-relaxed geometry from Alexandria. Energies are from meta-GGA SCAN.

```
MnHgCl2
1.0
3.654 0.000 0.000
0.000 4.128 0.000
0.000 0.000 5.507
Mn Hg Cl
1 1 2
Cartesian
0.000 0.000 0.000
1.827 0.000 2.754
0.000 2.064 2.754
1.827 2.064 0.000
```

Results
DOS(E_F) ... 0.56 states/eV per atom

=====

Q | Here is MnHgCl2 at its PBEsol-relaxed geometry from Alexandria. Energies are from meta-GGA SCAN.

```
MnHgCl2
1.0
1.784 1.030 9.145
-1.784 1.030 9.145
0.000 -2.060 9.145
Mn Hg Cl
1 1 2
Cartesian
0.000 0.000 0.000
0.000 0.000 13.717
0.000 0.000 7.735
0.000 0.000 19.699
```

=====

Which one is most stable, and which one is least stable? Q is the most stable of them, while P is the least stable.